w) Compound: TaVP2O
Source: Alexandria
Functional: GGA+U
Structure: optimized geometry

The space group is P4/mmm (No. 123) and the conventional cell measures 4.7052, 4.7052 and 3.4926 Å, with angles of 90.00, 90.00 and 90.00 degrees. The inequivalent atoms are Ta at (0.0000, 0.0000, 0.0000), V at (0.5000, 0.5000, 0.5000), P at (0.0000, 0.5000, 0.5000) and O at (0.5000, 0.5000, 0.0000).

For the density of states at the Fermi level, the calculation gives 4.41 states/eV per cell.


x) Compound: TaVP2O
Source: Alexandria
Functional: GGA+U
Structure: optimized geometry

The space group is P4/mmm (No. 123) and the conventional cell measures 4.9173, 4.9173 and 3.8401 Å, with angles of 90.00, 90.00 and 90.00 degrees. The inequivalent atoms are Ta at (0.0000, 0.0000, 0.0000), V at (0.5000, 0.5000, 0.5000), P at (0.0000, 0.5000, 0.0000) and O at (0.0000, 0.0000, 0.5000).

For the density of states at the Fermi level, the calculation gives 2.85 states/eV per cell.


x) is favored, and the nearest alternative lies 16.4 kJ/mol of atoms above it.